Crystalline Pr5NdTl4 at its relaxed geometry, computed with GGA-PBE.

abc: 3.704 3.704 22.919
angles: 90.00 90.00 90.00
Fractional positions:
Tl: 0.000 0.000 0.596
Tl: 0.000 0.000 0.789
Tl: 0.000 0.000 0.404
Tl: 0.000 0.000 0.211
Nd: 0.000 0.000 0.000
Pr: 0.500 0.500 0.693
Pr: 0.500 0.500 0.885
Pr: 0.500 0.500 0.307
Pr: 0.500 0.500 0.115
Pr: 0.500 0.500 0.500

## Properties
DFT formation energy	-29.2	kJ/mol of atoms
space group	No. 123
ΔE to the lowest computed polymorph	0	meV/atom